# Ba2ErMnO5 (PBE with a Hubbard U, relaxed)
# E_tot = -7.052 eV/atom
data_Ba2ErMnO5
_space_group_name_H-M_alt 'C m c 21'
_space_group_IT_number 36
_cell_length_a 3.612
_cell_length_b 15.466
_cell_length_c 11.105
_cell_angle_alpha 90.00
_cell_angle_beta 90.00
_cell_angle_gamma 90.00
loop_
_space_group_symop_operation_xyz
'x,y,z'
'-x,-y,z+1/2'
'-x,y,z'
'x,-y,z+1/2'
'x+1/2,y+1/2,z'
'-x+1/2,-y+1/2,z+1/2'
'-x+1/2,y+1/2,z'
'x+1/2,-y+1/2,z+1/2'
loop_
_atom_site_label
_atom_site_type_symbol
_atom_site_fract_x
_atom_site_fract_y
_atom_site_fract_z
Ba1 Ba 0.000 0.117 0.000
Ba2 Ba 0.000 0.131 0.638
Er1 Er 0.000 0.209 0.338
Mn1 Mn 0.000 0.447 0.751
O1 O 0.000 0.050 0.300
O2 O 0.000 0.296 0.964
O3 O 0.000 0.317 0.707
O4 O 0.000 0.346 0.325
O5 O 0.000 0.497 0.101